LuNiSnPt, relaxed, DFT PBE; M_tot = 0.0 μB per cell; symmetry = No. 186; ΔE to the lowest computed polymorph = 0.00 kcal/mol of atoms
1.0
-0.6192 4.1464 1.4834
-1.7695 -3.4360 2.1998
7.1961 -0.6391 4.7902
Lu Ni Pt Sn
2 2 2 2
Cartesian
0.7933 1.4594 2.9177
4.0080 -1.3876 5.5516
1.6046 -1.1742 3.9518
5.5861 1.0338 6.1081
-0.7009 -0.9694 2.4171
3.2806 1.2385 4.5734
3.5232 -0.3129 2.3453
7.1212 -0.6324 4.7404

=====

LuNiSnPt, relaxed, DFT PBE; M_tot = 0.0 μB per cell; symmetry = No. 216; ΔE to the lowest computed polymorph = 8.41 kcal/mol of atoms
1.0
-2.9644 -3.4842 1.0835
-0.7806 -1.1075 4.5017
-4.1532 0.9760 1.9747
Lu Ni Pt Sn
1 1 1 1
Cartesian
-1.9745 -0.9039 1.8900
-5.9236 -2.7118 5.6700
-3.9491 -1.8079 3.7800
0.0000 0.0000 0.0000

=====

LuNiSnPt, relaxed, DFT PBE; M_tot = 0.0 μB per cell; symmetry = No. 187; ΔE to the lowest computed polymorph = 0.29 kcal/mol of atoms
1.0
4.4359 0.0000 0.0000
-2.2179 3.8416 0.0000
0.0000 0.0000 8.7493
Lu Ni Pt Sn
2 2 2 2
Cartesian
0.0000 0.0000 0.0000
2.2179 1.2805 4.3747
0.0000 0.0000 3.0015
0.0000 0.0000 5.7478
2.2179 1.2805 1.4400
2.2179 1.2805 7.3093
0.0000 2.5610 2.3597
0.0000 2.5610 6.3896

=====

LuNiSnPt, relaxed, DFT PBE; M_tot = 0.0 μB per cell; symmetry = No. 164; ΔE to the lowest computed polymorph = 0.24 kcal/mol of atoms
1.0
4.4399 0.0000 0.0000
-2.2200 3.8451 0.0000
0.0000 0.0000 8.7432
Lu Ni Pt Sn
2 2 2 2
Cartesian
2.2200 1.2817 2.2489
0.0000 2.5634 6.4944
0.0000 2.5634 3.6960
2.2200 1.2817 5.0473
0.0000 2.5634 0.9313
2.2200 1.2817 7.8120
0.0000 0.0000 0.0000
0.0000 0.0000 4.3716

=====

LuZnNiPt, relaxed, DFT PBE; M_tot = 0.0 μB per cell; symmetry = No. 216; energy of formation = -478 meV per atom
1.0
0.0000 3.2110 3.2110
3.2110 0.0000 3.2110
3.2110 3.2110 0.0000
Lu Ni Pt Zn
1 1 1 1
Cartesian
1.6055 1.6055 1.6055
4.8165 4.8165 4.8165
3.2110 3.2110 3.2110
0.0000 0.0000 0.0000

=====

LuPuNi, relaxed, DFT PBE; M_tot = 6.0 μB per cell; symmetry = No. 216; ΔE to the lowest computed polymorph = 0.00 kcal/mol of atoms; energy of formation = 15 meV per atom
1.0
0.0000 3.1849 3.1849
3.1849 0.0000 3.1849
3.1849 3.1849 0.0000
Lu Ni Pu
1 1 1
Cartesian
0.0000 0.0000 0.0000
1.5925 1.5925 1.5925
3.1849 3.1849 3.1849